VASP calculation (GGA-PBE) on crystalline PrGd2Dy at its relaxed geometry.

a b c (Å): 5.729 5.729 5.729
angles (deg): 60.00 60.00 60.00
Sites, in units of the cell vectors:
Gd  0.750  0.750  0.750
Gd  0.250  0.250  0.250
Dy  0.000  0.000  0.000
Pr  0.500  0.500  0.500

As for the crystal system: cubic. As for the formation energy from the elements: 93 meV/atom. Its total moment is 4.083 μB per atom. The value obtained for the total DFT energy (no corrections) is -9.293 eV/atom. The calculation puts the excess energy over the best structure of this formula in the dataset at 0.073 eV per atom.

***

VASP calculation (GGA-PBE) on crystalline PrGd2Dy at its relaxed geometry.

a b c (Å): 3.610 3.610 10.174
angles (deg): 90.00 90.00 90.00
Sites, in units of the cell vectors:
Gd  0.000  0.000  0.756
Gd  0.000  0.000  0.244
Pr  0.500  0.500  0.500
Dy  0.500  0.500  0.000

As for the crystal system: tetragonal. As for the formation energy from the elements: 26 meV/atom. Its total moment is 3.627 μB per atom. The value obtained for the total DFT energy (no corrections) is -9.360 eV/atom. The calculation puts the excess energy over the best structure of this formula in the dataset at 0.006 eV per atom.